1.
# CoNi4 (PBE, relaxed)
# Crystal system: cubic
# Energy above the most stable polymorph in this dataset, eV per formula unit: 5.93
data_CoNi4
_cell_length_a 4.199
_cell_length_b 4.199
_cell_length_c 4.199
_cell_angle_alpha 90.00
_cell_angle_beta 90.00
_cell_angle_gamma 90.00
_space_group_name_H-M_alt 'P m -3 m'
_space_group_IT_number 221
_space_group_name_Hall '-P 4 2 3'
loop_
_atom_site_label
_atom_site_fract_x
_atom_site_fract_y
_atom_site_fract_z
Co1 0.000 0.000 0.000
Ni1 0.000 0.000 0.500
Ni2 0.500 0.500 0.500

2.
# Li2Mg2Cd3Hg4 (PBE, relaxed)
# Calculated total energy, Ry/atom: -0.087
# Crystal system: trigonal
data_Li2Mg2Cd3Hg4
_cell_length_a 4.8629
_cell_length_b 4.8629
_cell_length_c 11.7120
_cell_angle_alpha 90.00
_cell_angle_beta 90.00
_cell_angle_gamma 120.00
_space_group_name_H-M_alt 'P -3 m 1'
_space_group_IT_number 164
_space_group_name_Hall '-P 3 2"'
loop_
_atom_site_label
_atom_site_fract_x
_atom_site_fract_y
_atom_site_fract_z
Li1 0.3333 0.6667 0.1036
Mg1 0.3333 0.6667 0.5963
Cd1 0.0000 0.0000 0.0000
Cd2 0.0000 0.0000 0.2621
Hg1 0.3333 0.6667 0.3541
Hg2 0.3333 0.6667 0.8653

3.
# HoInHg2 (PBE, relaxed)
# Calculated total energy, Ry/atom: -0.165
# Crystal system: tetragonal
data_HoInHg2
_cell_length_a 3.706
_cell_length_b 3.706
_cell_length_c 7.255
_cell_angle_alpha 90.00
_cell_angle_beta 90.00
_cell_angle_gamma 90.00
_space_group_name_H-M_alt 'P 4/m m m'
_space_group_IT_number 123
_space_group_name_Hall '-P 4 2'
loop_
_atom_site_label
_atom_site_fract_x
_atom_site_fract_y
_atom_site_fract_z
Ho1 0.000 0.000 0.000
In1 0.000 0.000 0.500
Hg1 0.500 0.500 0.249

4.
# Ca2InP2 (PBE, relaxed)
# Crystal system: monoclinic
# Energy above the most stable polymorph in this dataset, eV per formula unit: 0.03
data_Ca2InP2
_cell_length_a 10.895
_cell_length_b 5.574
_cell_length_c 7.940
_cell_angle_alpha 90.00
_cell_angle_beta 108.80
_cell_angle_gamma 90.00
_space_group_name_H-M_alt 'C 1 2/c 1'
_space_group_IT_number 15
_space_group_name_Hall '-C 2yc'
loop_
_atom_site_label
_atom_site_fract_x
_atom_site_fract_y
_atom_site_fract_z
Ca1 0.143 0.141 0.149
In1 0.000 0.328 0.750
P1 0.149 0.363 0.498

5.
# ZnIrO2 (PBE, relaxed)
# Uncorrected formation energy, meV/atom: -755
# Crystal system: trigonal
data_ZnIrO2
_cell_length_a 2.8619
_cell_length_b 2.8619
_cell_length_c 18.7093
_cell_angle_alpha 90.00
_cell_angle_beta 90.00
_cell_angle_gamma 120.00
_space_group_name_H-M_alt 'R -3 m'
_space_group_IT_number 166
_space_group_name_Hall '-R 3 2"'
loop_
_atom_site_label
_atom_site_fract_x
_atom_site_fract_y
_atom_site_fract_z
Zn1 0.0000 0.0000 0.0000
Ir1 0.0000 0.0000 0.5000
O1 0.0000 0.0000 0.3972

6.
# H3IrPd (PBE, relaxed)
# Crystal system: cubic
# Energy above the most stable polymorph in this dataset, eV per formula unit: 1.64
data_H3IrPd
_cell_length_a 3.447
_cell_length_b 3.447
_cell_length_c 3.447
_cell_angle_alpha 90.00
_cell_angle_beta 90.00
_cell_angle_gamma 90.00
_space_group_name_H-M_alt 'P m -3 m'
_space_group_IT_number 221
_space_group_name_Hall '-P 4 2 3'
loop_
_atom_site_label
_atom_site_fract_x
_atom_site_fract_y
_atom_site_fract_z
H1 0.000 0.000 0.500
Ir1 0.500 0.500 0.500
Pd1 0.000 0.000 0.000

Copy entry 3 word for word.
# HoInHg2 (PBE, relaxed)
# Calculated total energy, Ry/atom: -0.165
# Crystal system: tetragonal
data_HoInHg2
_cell_length_a 3.706
_cell_length_b 3.706
_cell_length_c 7.255
_cell_angle_alpha 90.00
_cell_angle_beta 90.00
_cell_angle_gamma 90.00
_space_group_name_H-M_alt 'P 4/m m m'
_space_group_IT_number 123
_space_group_name_Hall '-P 4 2'
loop_
_atom_site_label
_atom_site_fract_x
_atom_site_fract_y
_atom_site_fract_z
Ho1 0.000 0.000 0.000
In1 0.000 0.000 0.500
Hg1 0.500 0.500 0.249

What did the fourth record say?
# Ca2InP2 (PBE, relaxed)
# Crystal system: monoclinic
# Energy above the most stable polymorph in this dataset, eV per formula unit: 0.03
data_Ca2InP2
_cell_length_a 10.895
_cell_length_b 5.574
_cell_length_c 7.940
_cell_angle_alpha 90.00
_cell_angle_beta 108.80
_cell_angle_gamma 90.00
_space_group_name_H-M_alt 'C 1 2/c 1'
_space_group_IT_number 15
_space_group_name_Hall '-C 2yc'
loop_
_atom_site_label
_atom_site_fract_x
_atom_site_fract_y
_atom_site_fract_z
Ca1 0.143 0.141 0.149
In1 0.000 0.328 0.750
P1 0.149 0.363 0.498

Repeat the second record exactly.
# Li2Mg2Cd3Hg4 (PBE, relaxed)
# Calculated total energy, Ry/atom: -0.087
# Crystal system: trigonal
data_Li2Mg2Cd3Hg4
_cell_length_a 4.8629
_cell_length_b 4.8629
_cell_length_c 11.7120
_cell_angle_alpha 90.00
_cell_angle_beta 90.00
_cell_angle_gamma 120.00
_space_group_name_H-M_alt 'P -3 m 1'
_space_group_IT_number 164
_space_group_name_Hall '-P 3 2"'
loop_
_atom_site_label
_atom_site_fract_x
_atom_site_fract_y
_atom_site_fract_z
Li1 0.3333 0.6667 0.1036
Mg1 0.3333 0.6667 0.5963
Cd1 0.0000 0.0000 0.0000
Cd2 0.0000 0.0000 0.2621
Hg1 0.3333 0.6667 0.3541
Hg2 0.3333 0.6667 0.8653